Model one:
Computed, not measured: a relaxed CsTb4Te6 crystal at the GGA-PBE level of DFT.

Total magnetization ... 0.0 μB per cell

Cell lengths 8.501, 8.501, 10.952 Å; angles 90.00, 90.00, 90.00 degrees
Space group I-42m (No. 121)
One atom of each set of equivalent atoms:
Cs1 0.000 0.000 0.000 x2
Tb1 0.185 0.185 0.597 x8
Te1 0.000 0.500 0.000 x4
Te2 0.157 0.157 0.311 x8



Model two:
Computed, not measured: a relaxed CsTb4Te6 crystal at the GGA-PBE level of DFT.

Total magnetization ... 0.0 μB per cell

Cell lengths 4.472, 14.799, 23.604 Å; angles 90.00, 90.00, 90.00 degrees
Space group Cmcm (No. 63)
One atom of each set of equivalent atoms:
Cs1 0.000 0.163 0.250 x4
Tb1 0.000 0.094 0.629 x8
Tb2 0.000 0.366 0.538 x8
Te1 0.000 0.000 0.000 x4
Te2 0.000 0.138 0.750 x4
Te3 0.000 0.270 0.082 x8
Te4 0.000 0.460 0.650 x8



Stability order, top to bottom: model two, model one



Model one:
Computed, not measured: a relaxed CsTbTl2 crystal at the GGA-PBE level of DFT.

Total magnetization ... 0.0 μB per cell

Cell lengths 3.942, 3.942, 9.257 Å; angles 90.00, 90.00, 90.00 degrees
Space group P4/mmm (No. 123)
One atom of each set of equivalent atoms:
Cs1 0.000 0.000 0.000 x1
Tb1 0.000 0.000 0.500 x1
Tl1 0.500 0.500 0.311 x2



Model two:
Computed, not measured: a relaxed CsTbTl2 crystal at the GGA-PBE level of DFT.

Total magnetization ... 0.0 μB per cell

Cell lengths 3.8871, 3.8871, 33.4414 Å; angles 90.00, 90.00, 120.00 degrees
Space group R-3m (No. 166, hexagonal axes)
One atom of each set of equivalent atoms:
Cs1 0.0000 0.0000 0.0000 x3
Tb1 0.0000 0.0000 0.5000 x3
Tl1 0.0000 0.0000 0.2381 x6



Stability order, top to bottom: model one, model two



Model one:
Computed, not measured: a relaxed Cs2TcTe crystal at the GGA-PBE level of DFT.

Total magnetization ... 20.0 μB per cell

Cell lengths 9.010, 9.010, 9.010 Å; angles 90.00, 90.00, 90.00 degrees
Space group Fm-3m (No. 225)
One atom of each set of equivalent atoms:
Cs1 0.250 0.250 0.250 x8
Tc1 0.000 0.000 0.000 x4
Te1 0.000 0.000 0.500 x4



Model two:
Computed, not measured: a relaxed Cs2TcTe crystal at the GGA-PBE level of DFT.

Total magnetization ... 4.3 μB per cell

Cell lengths 13.861, 13.861, 5.090 Å; angles 90.00, 90.00, 90.00 degrees
Space group I-42d (No. 122)
One atom of each set of equivalent atoms:
Cs1 0.007 0.250 0.125 x8
Tc1 0.000 0.000 0.000 x4
Te1 0.000 0.000 0.500 x4



Stability order, top to bottom: model two, model one



Model one:
Computed, not measured: a relaxed CsTiTc3 crystal at the GGA-PBE level of DFT.

Total magnetization ... 4.6 μB per cell

Cell lengths 4.846, 4.846, 4.846 Å; angles 90.00, 90.00, 90.00 degrees
Space group Pm-3m (No. 221)
One atom of each set of equivalent atoms:
Cs1 0.000 0.000 0.000 x1
Ti1 0.500 0.500 0.500 x1
Tc1 0.000 0.500 0.500 x3



Model two:
Computed, not measured: a relaxed CsTiTc3 crystal at the GGA-PBE level of DFT.

Total magnetization ... 0.0 μB per cell

Cell lengths 4.816, 4.816, 4.816 Å; angles 90.00, 90.00, 90.00 degrees
Space group Pm-3m (No. 221)
One atom of each set of equivalent atoms:
Cs1 0.000 0.000 0.000 x1
Ti1 0.500 0.500 0.500 x1
Tc1 0.000 0.000 0.500 x3



Stability order, top to bottom: model one, model two



Model one:
Computed, not measured: a relaxed CsTl2Tc2 crystal at the GGA-PBE level of DFT.

Total magnetization ... 0.0 μB per cell

Cell lengths 5.401, 5.401, 9.344 Å; angles 90.00, 90.00, 90.00 degrees
Space group I4/mmm (No. 139)
One atom of each set of equivalent atoms:
Cs1 0.000 0.000 0.000 x2
Tl1 0.000 0.500 0.250 x4
Tc1 0.000 0.000 0.386 x4



Model two:
Computed, not measured: a relaxed CsTl2Tc2 crystal at the GGA-PBE level of DFT.

Total magnetization ... 0.0 μB per cell

Cell lengths 9.147, 9.147, 3.132 Å; angles 90.00, 90.00, 90.00 degrees
Space group P4/mbm (No. 127)
One atom of each set of equivalent atoms:
Cs1 0.000 0.000 0.000 x2
Tl1 0.180 0.320 0.500 x4
Tc1 0.085 0.585 0.000 x4



Stability order, top to bottom: model two, model one



Model one:
Computed, not measured: a relaxed CsVTc3 crystal at the GGA-PBE level of DFT.

Total magnetization ... 4.0 μB per cell

Cell lengths 4.762, 4.762, 4.762 Å; angles 90.00, 90.00, 90.00 degrees
Space group Pm-3m (No. 221)
One atom of each set of equivalent atoms:
Cs1 0.000 0.000 0.000 x1
V1 0.500 0.500 0.500 x1
Tc1 0.000 0.500 0.500 x3



Model two:
Computed, not measured: a relaxed CsVTc3 crystal at the GGA-PBE level of DFT.

Total magnetization ... 0.5 μB per cell

Cell lengths 4.861, 4.861, 4.861 Å; angles 90.00, 90.00, 90.00 degrees
Space group Pm-3m (No. 221)
One atom of each set of equivalent atoms:
Cs1 0.000 0.000 0.000 x1
V1 0.500 0.500 0.500 x1
Tc1 0.000 0.000 0.500 x3



Stability order, top to bottom: model one, model two



Model one:
Computed, not measured: a relaxed CsZn2Tc2 crystal at the GGA-PBE level of DFT.

Total magnetization ... 0.0 μB per cell

Cell lengths 5.073, 5.073, 8.690 Å; angles 90.00, 90.00, 90.00 degrees
Space group I4/mmm (No. 139)
One atom of each set of equivalent atoms:
Cs1 0.000 0.000 0.000 x2
Zn1 0.000 0.500 0.250 x4
Tc1 0.000 0.000 0.375 x4



Model two:
Computed, not measured: a relaxed CsZn2Tc2 crystal at the GGA-PBE level of DFT.

Total magnetization ... 0.0 μB per cell

Cell lengths 8.330, 8.330, 2.975 Å; angles 90.00, 90.00, 90.00 degrees
Space group P4/mbm (No. 127)
One atom of each set of equivalent atoms:
Cs1 0.000 0.000 0.000 x2
Zn1 0.175 0.325 0.500 x4
Tc1 0.096 0.596 0.000 x4



Stability order, top to bottom: model two, model one



Model one:
Computed, not measured: a relaxed CsThTe3 crystal at the GGA-PBE level of DFT.

Total magnetization ... 0.0 μB per cell

Cell lengths 17.069, 6.434, 8.855 Å; angles 90.00, 103.93, 90.00 degrees
Space group C2/m (No. 12)
One atom of each set of equivalent atoms:
Cs1 0.128 0.000 0.371 x4
Th1 0.149 0.500 0.903 x4
Te1 0.042 0.500 0.166 x4
Te2 0.138 0.500 0.570 x4
Te3 0.166 0.000 0.934 x4



Model two:
Computed, not measured: a relaxed CsThTe3 crystal at the GGA-PBE level of DFT.

Total magnetization ... 0.0 μB per cell

Cell lengths 6.151, 6.151, 6.151 Å; angles 90.00, 90.00, 90.00 degrees
Space group Pm-3m (No. 221)
One atom of each set of equivalent atoms:
Cs1 0.000 0.000 0.000 x1
Th1 0.500 0.500 0.500 x1
Te1 0.000 0.500 0.500 x3



Model three:
Computed, not measured: a relaxed CsThTe3 crystal at the GGA-PBE level of DFT.

Total magnetization ... 0.0 μB per cell

Cell lengths 20.243, 4.653, 11.487 Å; angles 90.00, 117.91, 90.00 degrees
Space group C2/m (No. 12)
One atom of each set of equivalent atoms:
Cs1 0.110 0.000 0.285 x4
Th1 0.184 0.500 0.802 x4
Te1 0.010 0.500 0.628 x4
Te2 0.150 0.000 0.960 x4
Te3 0.223 0.000 0.666 x4



Stability order, top to bottom: model three, model two, model one



Model one:
Computed, not measured: a relaxed CsThTe4 crystal at the GGA-PBE level of DFT.

Total magnetization ... 0.0 μB per cell

Cell lengths 7.025, 7.025, 9.634 Å; angles 90.00, 90.00, 90.00 degrees
Space group P4/nbm (No. 125, origin choice 2)
One atom of each set of equivalent atoms:
Cs1 0.250 0.250 0.000 x2
Th1 0.250 0.250 0.500 x2
Te1 0.100 0.600 0.307 x8



Model two:
Computed, not measured: a relaxed CsThTe4 crystal at the GGA-PBE level of DFT.

Total magnetization ... 0.0 μB per cell

Cell lengths 9.092, 5.851, 10.126 Å; angles 90.00, 92.40, 90.00 degrees
Space group C2/m (No. 12)
One atom of each set of equivalent atoms:
Cs1 0.000 0.000 0.000 x2
Th1 0.000 0.500 0.500 x2
Te1 0.129 0.500 0.787 x4
Te2 0.138 0.000 0.413 x4



Stability order, top to bottom: model one, model two



Model one:
Computed, not measured: a relaxed Cs2TiTe4 crystal at the GGA-PBE level of DFT.

Total magnetization ... 0.0 μB per cell

Cell lengths 5.565, 5.565, 19.024 Å; angles 90.00, 90.00, 90.00 degrees
Space group I4/mmm (No. 139)
One atom of each set of equivalent atoms:
Cs1 0.000 0.000 0.149 x4
Ti1 0.000 0.000 0.500 x2
Te1 0.000 0.000 0.358 x4
Te2 0.000 0.500 0.000 x4



Model two:
Computed, not measured: a relaxed Cs2TiTe4 crystal at the GGA-PBE level of DFT.

Total magnetization ... 0.0 μB per cell

Cell lengths 8.482, 4.062, 8.984 Å; angles 90.00, 108.89, 90.00 degrees
Space group Pm (No. 6)
One atom of each set of equivalent atoms:
Cs1 0.000 0.000 0.000 x1
Cs2 0.388 0.000 0.644 x1
Ti1 0.658 0.500 0.307 x1
Te1 0.028 0.500 0.406 x1
Te2 0.328 0.500 0.270 x1
Te3 0.608 0.000 0.089 x1
Te4 0.775 0.000 0.538 x1



Stability order, top to bottom: model one, model two



Model one:
Computed, not measured: a relaxed CsTi2Te4 crystal at the GGA-PBE level of DFT.

Total magnetization ... 3.9 μB per cell

Cell lengths 4.127, 14.428, 14.639 Å; angles 90.00, 90.00, 90.00 degrees
Space group Cmcm (No. 63)
One atom of each set of equivalent atoms:
Cs1 0.000 0.106 0.250 x4
Ti1 0.000 0.371 0.068 x8
Te1 0.000 0.000 0.000 x4
Te2 0.000 0.259 0.593 x8
Te3 0.000 0.398 0.250 x4



Model two:
Computed, not measured: a relaxed CsTi2Te4 crystal at the GGA-PBE level of DFT.

Total magnetization ... 1.4 μB per cell

Cell lengths 20.040, 3.935, 6.644 Å; angles 90.00, 108.07, 90.00 degrees
Space group C2/m (No. 12)
One atom of each set of equivalent atoms:
Cs1 0.000 0.000 0.000 x2
Ti1 0.250 0.000 0.256 x4
Te1 0.160 0.000 0.505 x4
Te2 0.163 0.500 0.002 x4



Stability order, top to bottom: model two, model one